# 1
Material: LaGa2Co2
Method: DFT, GGA-PBE
State: relaxed

Values from the calculation:
Fermi-level density of states ... 7.55 states/eV per cell
Space-group type ... P4/mbm (127)

Cell lengths 7.5409, 7.5409, 2.8209 Å; angles 90.00, 90.00, 90.00 degrees
With the nearest neighbours (Å) after each atom.
Sites, in units of the cell vectors:
Ga: 0.8813 0.6187 0.0000  3 Ga 2.53-2.82, 6 Co 2.59-2.68
Ga: 0.3813 0.8813 0.0000  3 Ga 2.53-2.82, 6 Co 2.59-2.68
Ga: 0.6187 0.1187 0.0000  3 Ga 2.53-2.82, 6 Co 2.59-2.68
Ga: 0.1187 0.3813 0.0000  3 Ga 2.53-2.82, 6 Co 2.59-2.68
Co: 0.6777 0.8223 0.5000  6 Ga 2.59-2.68, 2 Co 2.82
Co: 0.3223 0.1777 0.5000  6 Ga 2.59-2.68, 2 Co 2.82
Co: 0.1777 0.6777 0.5000  6 Ga 2.59-2.68, 2 Co 2.82
Co: 0.8223 0.3223 0.5000  6 Ga 2.59-2.68, 2 Co 2.82
La: 0.5000 0.5000 0.0000  2 La 2.82, 4 Ga 3.01, 8 Co 3.11
La: 0.0000 0.0000 0.0000  2 La 2.82, 4 Ga 3.01, 8 Co 3.11

***

# 2
Material: La12Ga6Co
Method: DFT, GGA-PBE
State: relaxed

Values from the calculation:
Fermi-level density of states ... 21.98 states/eV per cell
Space-group type ... R-3 (148)

Cell lengths 8.3787, 8.3787, 8.3787 Å; angles 92.62, 92.62, 92.62 degrees
With the nearest neighbours (Å) after each atom.
Sites, in units of the cell vectors:
La: 0.9256 0.6818 0.0381  1 Co 2.75
La: 0.4504 0.8145 0.5720  4 Ga 3.10-3.26, 1 La 3.47
La: 0.6818 0.0381 0.9256  1 Co 2.75
La: 0.1855 0.4280 0.5496  4 Ga 3.10-3.26, 1 La 3.47
La: 0.0744 0.3182 0.9619  1 Co 2.75
La: 0.8145 0.5720 0.4504  4 Ga 3.10-3.26, 1 La 3.47
La: 0.5496 0.1855 0.4280  4 Ga 3.10-3.26, 1 La 3.47
La: 0.4280 0.5496 0.1855  4 Ga 3.10-3.26, 1 La 3.47
La: 0.0381 0.9256 0.6818  1 Co 2.75
La: 0.3182 0.9619 0.0744  1 Co 2.75
La: 0.5720 0.4504 0.8145  4 Ga 3.10-3.26, 1 La 3.47
La: 0.9619 0.0744 0.3182  1 Co 2.75
Co: 0.0000 0.0000 0.0000  6 La 2.75
Ga: 0.3463 0.1500 0.7396  8 La 3.10-3.34
Ga: 0.7396 0.3463 0.1500  8 La 3.10-3.34
Ga: 0.6537 0.8500 0.2604  8 La 3.10-3.34
Ga: 0.8500 0.2604 0.6537  8 La 3.10-3.34
Ga: 0.1500 0.7396 0.3463  8 La 3.10-3.34
Ga: 0.2604 0.6537 0.8500  8 La 3.10-3.34

***

# 3
Material: La5GaCo2
Method: DFT, GGA-PBE
State: relaxed

Values from the calculation:
Fermi-level density of states ... 22.50 states/eV per cell
Space-group type ... I4/mcm (140)

Cell lengths 7.8745, 7.8745, 8.8087 Å; angles 116.55, 116.55, 90.00 degrees
With the nearest neighbours (Å) after each atom.
Sites, in units of the cell vectors:
La: 0.5262 0.7023 0.7285  3 Co 2.96-2.97
La: 0.0000 0.0000 0.0000  4 Co 3.08, 2 Ga 3.41
La: 0.7023 0.2023 0.7285  3 Co 2.96-2.97
La: 0.9738 0.4738 0.2715  3 Co 2.96-2.97
La: 0.2977 0.7977 0.2715  3 Co 2.96-2.97
La: 0.7977 0.9738 0.2715  3 Co 2.96-2.97
La: 0.4738 0.2977 0.2715  3 Co 2.96-2.97
La: 0.2023 0.0262 0.7285  3 Co 2.96-2.97
La: 0.0262 0.5262 0.7285  3 Co 2.96-2.97
La: 0.5000 0.5000 0.0000  4 Co 3.08, 2 Ga 3.41
Co: 0.6312 0.1312 0.0000  1 Co 2.92, 8 La 2.96-3.08
Co: 0.3688 0.8688 0.0000  1 Co 2.92, 8 La 2.96-3.08
Co: 0.8688 0.6312 0.0000  1 Co 2.92, 8 La 2.96-3.08
Co: 0.1312 0.3688 0.0000  1 Co 2.92, 8 La 2.96-3.08
Ga: 0.2500 0.2500 0.5000  10 La 3.34-3.41
Ga: 0.7500 0.7500 0.5000  10 La 3.34-3.41

***

# 4
Material: La2GaCo
Method: DFT, GGA-PBE
State: relaxed

Values from the calculation:
Fermi-level density of states ... 2.31 states/eV per cell
Space-group type ... R-3m (166)

Cell lengths 3.9335, 3.9335, 9.8541 Å; angles 78.49, 78.49, 60.00 degrees
With the nearest neighbours (Å) after each atom.
Sites, in units of the cell vectors:
Co: 0.5000 0.5000 0.5000  6 La 2.74
La: 0.1131 0.1131 0.6608  3 Co 2.74
La: 0.8869 0.8869 0.3392  3 Co 2.74
Ga: 0.0000 0.0000 0.0000  2 La 3.25

***

# 5
Material: LaGaCo4
Method: DFT, GGA-PBE
State: relaxed

Values from the calculation:
Fermi-level density of states ... 9.74 states/eV per cell
Space-group type ... F-43m (216)

Cell lengths 5.0099, 5.0099, 5.0099 Å; angles 60.00, 60.00, 60.00 degrees
With the nearest neighbours (Å) after each atom.
Sites, in units of the cell vectors:
Co: 0.1200 0.6267 0.6267  6 Co 2.47-2.54
Co: 0.6267 0.6267 0.1200  6 Co 2.47-2.54
Co: 0.6267 0.6267 0.6267  6 Co 2.47-2.54
Co: 0.6267 0.1200 0.6267  6 Co 2.47-2.54
La: 0.2500 0.2500 0.2500  12 Co 2.94, 4 Ga 3.07
Ga: 0.0000 0.0000 0.0000  12 Co 2.93, 4 La 3.07

***

# 6
Material: La12GaCo5
Method: DFT, GGA-PBE
State: relaxed

Values from the calculation:
Fermi-level density of states ... 17.81 states/eV per cell
Space-group type ... Immm (71)

Cell lengths 8.6563, 8.6563, 8.6563 Å; angles 107.06, 112.05, 109.34 degrees
With the nearest neighbours (Å) after each atom.
Sites, in units of the cell vectors:
La: 0.6888 0.6689 0.3577  3 Co 2.73-2.92
La: 0.1848 0.9861 0.8013  2 Co 2.65-2.76
La: 0.8152 0.0139 0.1987  2 Co 2.65-2.76
La: 0.8667 0.1768 0.6900  2 Co 2.90
La: 0.6888 0.3311 0.0199  3 Co 2.73-2.92
La: 0.1333 0.8232 0.3100  2 Co 2.90
La: 0.8152 0.6165 0.8013  2 Co 2.65-2.76
La: 0.1848 0.3835 0.1987  2 Co 2.65-2.76
La: 0.3112 0.3311 0.6423  3 Co 2.73-2.92
La: 0.4868 0.1768 0.3100  2 Co 2.90
La: 0.3112 0.6689 0.9801  3 Co 2.73-2.92
La: 0.5132 0.8232 0.6900  2 Co 2.90
Co: 0.3524 0.3524 0.0000  6 La 2.65-2.92, 1 Co 2.95
Co: 0.6476 0.6476 0.0000  6 La 2.65-2.92, 1 Co 2.95
Co: 0.5000 0.8665 0.3665  6 La 2.73-2.90, 1 Co 2.75
Co: 0.5000 0.1335 0.6335  6 La 2.73-2.90, 1 Co 2.75
Co: 0.0000 0.0000 0.0000  4 La 2.76
Ga: 0.0000 0.5000 0.5000  12 La 3.48-3.72

***

# 7
Material: La2GaCo
Method: DFT, GGA-PBE
State: relaxed

Values from the calculation:
Fermi-level density of states ... 11.01 states/eV per cell
Space-group type ... Pnma (62)

Cell lengths 5.3067, 6.7978, 11.1389 Å; angles 90.00, 90.00, 90.00 degrees
With the nearest neighbours (Å) after each atom.
Sites, in units of the cell vectors:
Co: 0.2500 0.7507 0.4254  1 Ga 2.41, 4 La 2.59-2.66
Co: 0.2500 0.2507 0.0746  1 Ga 2.41, 4 La 2.59-2.66
Co: 0.7500 0.2493 0.5746  1 Ga 2.41, 4 La 2.59-2.66
Co: 0.7500 0.7493 0.9254  1 Ga 2.41, 4 La 2.59-2.66
La: 0.2500 0.5008 0.2502  2 Co 2.59
La: 0.7500 0.9992 0.7502  2 Co 2.59
La: 0.7500 0.4992 0.7498  2 Co 2.59
La: 0.7500 0.7510 0.4395  2 Co 2.66
La: 0.2500 0.2490 0.5605  2 Co 2.66
La: 0.2500 0.7490 0.9395  2 Co 2.66
La: 0.2500 0.0008 0.2498  2 Co 2.59
La: 0.7500 0.2510 0.0605  2 Co 2.66
Ga: 0.7500 0.7509 0.1415  1 Co 2.41
Ga: 0.7500 0.2509 0.3585  1 Co 2.41
Ga: 0.2500 0.7491 0.6415  1 Co 2.41
Ga: 0.2500 0.2491 0.8585  1 Co 2.41

***

# 8
Material: LaGa2Co
Method: DFT, GGA-PBE
State: relaxed

Values from the calculation:
Fermi-level density of states ... 6.30 states/eV per cell
Space-group type ... I-42d (122)

Cell lengths 4.8499, 4.8499, 8.6318 Å; angles 73.68, 73.68, 90.00 degrees
With the nearest neighbours (Å) after each atom.
Sites, in units of the cell vectors:
Ga: 0.3750 0.6135 0.7500  2 Co 2.32, 2 Ga 2.43
Ga: 0.3635 0.6250 0.2500  2 Co 2.32, 2 Ga 2.43
Ga: 0.3865 0.1250 0.2500  2 Co 2.32, 2 Ga 2.43
Ga: 0.8750 0.6365 0.7500  2 Co 2.32, 2 Ga 2.43
Co: 0.5000 0.5000 0.0000  4 Ga 2.32
Co: 0.2500 0.7500 0.5000  4 Ga 2.32
La: 0.0000 0.0000 0.0000  8 Ga 3.32-3.40, 4 Co 3.43
La: 0.7500 0.2500 0.5000  8 Ga 3.32-3.40, 4 Co 3.43

***

# 9
Material: La2Ga4Co
Method: DFT, GGA-PBE
State: relaxed

Values from the calculation:
Fermi-level density of states ... 5.65 states/eV per cell
Space-group type ... I4/mmm (139)

Cell lengths 4.5415, 4.5415, 8.4212 Å; angles 74.36, 74.36, 90.00 degrees
With the nearest neighbours (Å) after each atom.
Sites, in units of the cell vectors:
La: 0.3515 0.3515 0.2970  9 Ga 3.08-3.24
La: 0.6485 0.6485 0.7030  9 Ga 3.08-3.24
Co: 0.0000 0.0000 0.0000  6 Ga 2.27-2.39
Ga: 0.5000 0.0000 0.0000  2 Co 2.27
Ga: 0.0000 0.5000 0.0000  2 Co 2.27
Ga: 0.8464 0.8464 0.3072  1 Co 2.39
Ga: 0.1536 0.1536 0.6928  1 Co 2.39

***

# 10
Material: La2GaCo
Method: DFT, GGA-PBE
State: relaxed

Values from the calculation:
Fermi-level density of states ... 4.40 states/eV per cell
Space-group type ... Imm2 (44)

Cell lengths 4.4656, 5.3710, 5.3711 Å; angles 65.70, 65.47, 65.47 degrees
With the nearest neighbours (Å) after each atom.
Sites, in units of the cell vectors:
Ga: 0.2500 0.1676 0.3324  2 Co 2.58
La: 0.0328 0.9099 0.0239  1 Co 2.64
La: 0.4672 0.4761 0.5901  1 Co 2.64
Co: 0.7500 0.9465 0.5535  2 Ga 2.58, 2 La 2.64

***

# 11
Material: LaGa2Co
Method: DFT, GGA-PBE
State: relaxed

Values from the calculation:
Fermi-level density of states ... 12.64 states/eV per cell
Space-group type ... Pnma (62)

Cell lengths 4.3977, 6.7578, 10.6151 Å; angles 90.00, 90.00, 90.00 degrees
With the nearest neighbours (Å) after each atom.
Sites, in units of the cell vectors:
Ga: 0.2500 0.3172 0.9200  3 Co 2.38-2.48
Ga: 0.7500 0.1465 0.8057  2 Co 2.41-2.46
Ga: 0.2500 0.3535 0.3057  2 Co 2.41-2.46
Ga: 0.2500 0.8535 0.1943  2 Co 2.41-2.46
Ga: 0.7500 0.1828 0.4200  3 Co 2.38-2.48
Ga: 0.7500 0.6828 0.0800  3 Co 2.38-2.48
Ga: 0.2500 0.8172 0.5800  3 Co 2.38-2.48
Ga: 0.7500 0.6465 0.6943  2 Co 2.41-2.46
La: 0.7500 0.1899 0.1220  3 Co 3.11-3.13, 10 Ga 3.14-3.46
La: 0.2500 0.3101 0.6220  3 Co 3.11-3.13, 10 Ga 3.14-3.46
La: 0.2500 0.8101 0.8780  3 Co 3.11-3.13, 10 Ga 3.14-3.46
La: 0.7500 0.6899 0.3780  3 Co 3.11-3.13, 10 Ga 3.14-3.46
Co: 0.7500 0.4818 0.8955  5 Ga 2.38-2.48
Co: 0.2500 0.5182 0.1045  5 Ga 2.38-2.48
Co: 0.7500 0.9818 0.6045  5 Ga 2.38-2.48
Co: 0.2500 0.0182 0.3955  5 Ga 2.38-2.48

***

# 12
Material: LaGaCo
Method: DFT, GGA-PBE
State: relaxed

Values from the calculation:
Fermi-level density of states ... 9.33 states/eV per cell
Space-group type ... P2_1/c (14)

Cell lengths 6.1121, 6.1583, 6.7310 Å; angles 90.00, 96.93, 90.00 degrees
With the nearest neighbours (Å) after each atom.
Sites, in units of the cell vectors:
La: 0.2849 0.8587 0.0980  2 Co 2.55-2.70
La: 0.2151 0.3587 0.4020  2 Co 2.55-2.70
La: 0.7151 0.1413 0.9020  2 Co 2.55-2.70
La: 0.7849 0.6413 0.5980  2 Co 2.55-2.70
Ga: 0.2924 0.8604 0.6126  3 Co 2.36-2.45
Ga: 0.7924 0.6396 0.1126  3 Co 2.36-2.45
Ga: 0.2076 0.3604 0.8874  3 Co 2.36-2.45
Ga: 0.7076 0.1396 0.3874  3 Co 2.36-2.45
Co: 0.5041 0.3753 0.1590  3 Ga 2.36-2.45, 1 La 2.55, 1 Co 2.63
Co: 0.9959 0.8753 0.3410  3 Ga 2.36-2.45, 1 La 2.55, 1 Co 2.63
Co: 0.0041 0.1247 0.6590  3 Ga 2.36-2.45, 1 La 2.55, 1 Co 2.63
Co: 0.4959 0.6247 0.8410  3 Ga 2.36-2.45, 1 La 2.55, 1 Co 2.63

***

no.,energy relative to the elements (eV/atom)
1,-0.1129
2,-0.3196
3,-0.2234
4,0.1031
5,-0.0360
6,-0.1666
7,-0.2938
8,-0.1891
9,-0.4687
10,-0.2626
11,-0.4984
12,-0.4588